28
Lattice="7.549 0.000 0.000 -3.774 11.109 0.000 0.000 0.000 14.728" Properties=species:S:1:pos:R:3 comment="Ba3SnBi3 | Alexandria via LeMat-Bulk | PBE-GGA | relaxed" spacegroup="No. 64" de_polymorph_mev_per_atom=0 formation_enthalpy_0k_ev_per_atom=-0.70 total_energy_ev_per_atom=-3.760 pbc="T T T"
Ba 5.238 3.862 1.891
Ba 6.057 0.000 5.324
Ba 6.085 3.862 9.255
Ba -1.464 7.247 12.837
Ba 2.283 0.000 2.040
Ba 1.491 0.000 9.404
Ba 2.311 3.862 12.837
Ba -2.311 7.247 5.473
Ba 1.464 3.862 5.473
Ba 2.311 7.247 9.255
Ba 1.464 7.247 1.891
Ba 5.266 0.000 12.688
Bi 1.619 3.652 1.864
Bi 5.855 0.000 1.752
Bi 1.693 0.000 12.976
Bi 5.394 3.652 5.500
Bi -2.155 7.457 1.864
Bi 5.468 0.000 9.116
Bi 2.081 0.000 5.612
Bi 2.155 7.457 12.864
Bi -1.619 7.457 9.228
Bi 5.930 3.652 12.864
Bi 1.619 7.457 5.500
Bi 2.155 3.652 9.228
Sn 0.000 1.932 0.000
Sn 3.774 1.932 7.364
Sn 3.774 9.178 0.000
Sn 0.000 9.178 7.364


4
Lattice="-2.444 -2.487 0.152 2.377 -2.263 1.187 -1.709 2.138 7.499" Properties=species:S:1:pos:R:3 comment="TmThCdTc | Alexandria via LeMat-Bulk | PBE-GGA | relaxed" spacegroup="No. 99" de_polymorph_mev_per_atom=0 formation_enthalpy_0k_ev_per_atom=-0.20 total_energy_ev_per_atom=-5.990 pbc="T T T"
Th -1.361 -0.714 6.494
Tm -0.639 -1.617 3.328
Cd -0.152 0.190 0.668
Tc -0.965 1.207 4.233


3
Lattice="3.777 0.000 0.000 -1.888 3.271 0.000 0.000 0.000 4.488" Properties=species:S:1:pos:R:3 comment="LaBeP | Alexandria via LeMat-Bulk | PBE-GGA | relaxed" spacegroup="No. 187" de_polymorph_mev_per_atom=22 formation_enthalpy_0k_ev_per_atom=-0.98 total_energy_ev_per_atom=-5.664 pbc="T T T"
Be 1.888 1.090 0.000
P 0.000 2.181 0.000
La 0.000 0.000 2.244


4
Lattice="2.639 -0.021 0.000 -0.544 2.582 0.000 0.000 0.000 8.086" Properties=species:S:1:pos:R:3 comment="FeNiW2 | Alexandria via LeMat-Bulk | PBE-GGA | relaxed" spacegroup="No. 65" de_polymorph_mev_per_atom=66 formation_enthalpy_0k_ev_per_atom=0.14 total_energy_ev_per_atom=-9.896 pbc="T T T"
W 0.000 0.000 8.059
W 0.000 0.000 4.070
Fe 1.047 1.281 2.021
Ni 1.047 1.281 6.064


4
Lattice="-4.498 2.220 -0.790 -3.677 -0.403 3.480 -1.350 4.051 2.749" Properties=species:S:1:pos:R:3 comment="HoScAgSn | Alexandria via LeMat-Bulk | PBE-GGA | relaxed" spacegroup="No. 216" formation_enthalpy_0k_ev_per_atom=-0.48 total_energy_ev_per_atom=-4.918 pbc="T T T"
Ag 0.000 0.000 0.000
Ho -2.381 1.467 1.360
Sn -4.762 2.934 2.719
Sc -7.143 4.401 4.079


5
Lattice="4.472 0.000 0.000 0.000 4.472 0.000 0.000 0.000 4.472" Properties=species:S:1:pos:R:3 comment="RbNbF3 | Alexandria via LeMat-Bulk | PBE-GGA | relaxed" spacegroup="No. 221" de_polymorph_mev_per_atom=0 formation_energy_uncorrected_ev_per_fu=-11.13 total_energy_ev_per_atom=-5.557 pbc="T T T"
F 0.000 2.236 0.000
F 2.236 0.000 0.000
F 0.000 0.000 2.236
Nb 0.000 0.000 0.000
Rb 2.236 2.236 2.236


5
Lattice="-2.422 -2.605 3.611 4.197 -2.709 0.860 1.488 3.401 3.451" Properties=species:S:1:pos:R:3 comment="RhBr4 | Alexandria via LeMat-Bulk | PBE-GGA | relaxed" spacegroup="No. 221" formation_energy_uncorrected_ev_per_fu=0.87 total_energy_ev_per_atom=-2.635 pbc="T T T"
Br 2.842 0.346 2.156
Br -0.467 0.398 3.531
Br 0.887 -2.657 2.236
Br 0.000 0.000 0.000
Rh 1.631 -0.957 3.962


20
Lattice="-3.964 -2.169 2.488 0.176 -7.025 -5.844 6.744 -2.650 8.435" Properties=species:S:1:pos:R:3 comment="SmEr3Hg6 | Alexandria via LeMat-Bulk | PBE-GGA | relaxed" spacegroup="No. 11" formation_enthalpy_0k_ev_per_atom=-0.43 total_energy_ev_per_atom=-2.447 pbc="T T T"
Hg 3.887 -6.928 2.827
Hg 1.719 -4.663 6.694
Hg 3.237 -7.797 6.379
Hg 2.551 -3.690 3.521
Hg 0.405 -8.154 1.558
Hg 2.534 -9.771 3.540
Hg -2.176 -8.453 -2.815
Hg 5.132 -3.391 7.894
Hg 0.422 -2.073 1.539
Hg -0.280 -4.047 -1.301
Hg 1.237 -7.181 -1.615
Hg -0.931 -4.915 2.252
Er -1.537 -6.692 -0.263
Er -2.899 -3.263 0.556
Er 5.856 -8.580 4.523
Er 1.241 -6.655 4.196
Er 1.716 -5.189 0.883
Er 4.494 -5.151 5.342
Sm -0.356 -3.108 4.744
Sm 3.312 -8.736 0.334


4
Lattice="-0.682 -2.788 3.266 0.969 -4.209 -0.496 3.377 -1.720 2.131" Properties=species:S:1:pos:R:3 comment="Re2NiW | Alexandria via LeMat-Bulk | PBE-GGA | relaxed" spacegroup="No. 216" de_polymorph_mev_per_atom=219 formation_enthalpy_0k_ev_per_atom=0.23 total_energy_ev_per_atom=-10.678 pbc="T T T"
Re 0.000 0.000 0.000
Re 0.916 -2.179 1.225
W 2.748 -6.537 3.676
Ni 1.832 -4.358 2.451


4
Lattice="-3.018 -1.813 -1.225 -1.957 -2.151 2.332 -6.933 5.930 2.631" Properties=species:S:1:pos:R:3 comment="Tb2GaCo | Alexandria via LeMat-Bulk | PBE-GGA | relaxed" spacegroup="No. 166" formation_enthalpy_0k_ev_per_atom=0.08 total_energy_ev_per_atom=-4.766 pbc="T T T"
Tb -5.162 3.497 1.872
Tb -6.745 -1.530 1.866
Co -5.954 0.983 1.869
Ga 0.000 0.000 0.000


5
Lattice="5.301 0.000 0.000 0.000 5.301 0.000 0.000 0.000 4.890" Properties=species:S:1:pos:R:3 comment="LiHfTiSn2 | Alexandria via LeMat-Bulk | PBE-GGA | relaxed" spacegroup="No. 123" formation_enthalpy_0k_ev_per_atom=0.38 total_energy_ev_per_atom=-5.175 pbc="T T T"
Sn 2.650 0.000 0.000
Sn 0.000 2.650 0.000
Hf 0.000 0.000 2.445
Li 2.650 2.650 2.445
Ti 0.000 0.000 0.000


9
Lattice="4.143 0.000 0.000 -2.072 7.976 -0.239 0.000 -2.976 7.287" Properties=species:S:1:pos:R:3 comment="Ac4PS2N2 | Alexandria via LeMat-Bulk | PBE-GGA | relaxed" spacegroup="No. 12" formation_energy_uncorrected_ev_per_fu=-13.10 total_energy_ev_per_atom=-6.650 pbc="T T T"
Ac 2.072 -1.874 5.425
Ac 0.000 6.874 1.623
Ac 0.000 2.985 1.204
Ac 2.072 2.015 5.844
N 0.000 5.147 -0.017
N 2.072 -0.147 7.065
S 0.000 0.353 3.891
S 2.072 4.646 3.157
P 0.000 0.000 0.000


4
Lattice="-3.436 1.398 -1.369 -1.950 -2.669 2.170 -0.385 6.296 7.398" Properties=species:S:1:pos:R:3 comment="Ac2PmTl | Alexandria via LeMat-Bulk | PBE-GGA | relaxed" spacegroup="No. 123" de_polymorph_mev_per_atom=13 formation_enthalpy_0k_ev_per_atom=-0.13 total_energy_ev_per_atom=-3.960 pbc="T T T"
Ac -0.297 4.854 5.704
Ac -0.088 1.441 1.694
Pm -2.886 2.512 4.100
Tl -2.693 -0.635 0.401


4
Lattice="-2.152 -0.534 4.951 1.245 -4.724 2.358 2.899 3.871 -2.457" Properties=species:S:1:pos:R:3 comment="Ta2CdPb | Alexandria via LeMat-Bulk | PBE-GGA | relaxed" spacegroup="No. 119" formation_enthalpy_0k_ev_per_atom=0.55 total_energy_ev_per_atom=-6.529 pbc="T T T"
Ta 1.845 -1.741 1.778
Ta 0.000 0.000 0.000
Pb 0.147 0.354 3.074
Cd -0.454 -2.629 3.654


20
Lattice="-0.278 6.671 0.591 -2.564 -1.646 -7.963 -5.317 -2.994 5.955" Properties=species:S:1:pos:R:3 comment="BaLi7Al12 | Alexandria via LeMat-Bulk | PBE-GGA | relaxed" spacegroup="No. 166" formation_enthalpy_0k_ev_per_atom=0.00 total_energy_ev_per_atom=-3.016 pbc="T T T"
Al -4.510 2.292 -2.646
Al -2.903 0.104 -2.539
Al -4.572 -2.629 2.187
Al -5.256 1.927 1.122
Al -3.587 4.660 -3.604
Al -7.152 0.000 1.142
Al -3.648 -0.261 1.228
Al -1.007 2.031 -2.559
Al -3.028 4.775 -0.136
Al -5.130 -2.744 -1.281
Al -4.535 -0.087 -5.645
Al -3.623 2.119 4.228
Ba 0.000 0.000 0.000
Li -2.057 4.318 2.529
Li -2.870 2.021 -0.372
Li -1.107 4.783 -2.273
Li -0.139 3.336 0.296
Li -3.538 -0.641 4.017
Li -5.289 0.010 -1.045
Li -1.734 0.243 -5.099


18
Lattice="4.335 0.000 0.000 -2.168 9.640 0.000 0.000 0.000 13.080" Properties=species:S:1:pos:R:3 comment="PmNd2CuTe5 | Alexandria via LeMat-Bulk | PBE-GGA | relaxed" spacegroup="No. 36" formation_energy_uncorrected_ev_per_fu=-10.80 total_energy_ev_per_atom=-4.988 pbc="T T T"
Te 2.168 8.859 7.371
Te 2.168 2.749 6.530
Te 0.000 6.096 4.437
Te 2.168 4.105 2.326
Te 2.168 3.545 10.977
Te 0.000 5.535 8.866
Te 2.168 0.002 10.277
Te 0.000 0.782 0.831
Te 0.000 9.639 3.737
Te 0.000 6.892 13.070
Pm 0.000 3.693 0.122
Pm 2.168 5.947 6.662
Nd 2.168 7.283 10.557
Nd 0.000 2.358 4.017
Nd 0.000 2.087 8.952
Nd 2.168 7.553 2.412
Cu 2.168 1.355 12.527
Cu 0.000 8.285 5.987


10
Lattice="6.253 0.000 0.000 0.000 6.253 0.000 0.000 0.000 4.106" Properties=species:S:1:pos:R:3 comment="Mg2Fe2Pt | Alexandria via LeMat-Bulk | PBE-GGA | relaxed" spacegroup="No. 127" formation_enthalpy_0k_ev_per_atom=0.00 total_energy_ev_per_atom=-5.235 pbc="T T T"
Mg 4.241 5.139 2.053
Mg 1.114 4.241 2.053
Mg 2.012 1.114 2.053
Mg 5.139 2.012 2.053
Fe 0.758 2.369 0.000
Fe 2.369 5.496 0.000
Fe 3.884 0.758 0.000
Fe 5.496 3.884 0.000
Pt 3.127 3.127 0.000
Pt 0.000 0.000 0.000


8
Lattice="6.615 0.000 0.000 0.000 6.615 0.000 3.307 3.307 5.668" Properties=species:S:1:pos:R:3 comment="Al2CdTe | Alexandria via LeMat-Bulk | PBE-GGA | relaxed" spacegroup="No. 122" de_polymorph_mev_per_atom=167 formation_energy_uncorrected_ev_per_fu=0.78 total_energy_ev_per_atom=-2.691 pbc="T T T"
Cd 3.307 6.615 2.834
Cd 3.307 3.307 0.000
Al 1.724 4.961 1.417
Al 4.961 5.031 4.251
Al 8.269 8.198 4.251
Al 4.891 1.654 1.417
Te 6.615 3.307 2.834
Te 0.000 0.000 0.000


8
Lattice="4.503 0.000 0.000 0.000 4.503 0.000 0.000 0.000 8.197" Properties=species:S:1:pos:R:3 comment="NaGa6Au | Alexandria via LeMat-Bulk | PBE-GGA | relaxed" spacegroup="No. 123" formation_enthalpy_0k_ev_per_atom=-0.17 total_energy_ev_per_atom=-3.012 pbc="T T T"
Ga 2.251 0.000 5.566
Ga 2.251 0.000 2.631
Ga 2.251 2.251 1.243
Ga 0.000 2.251 2.631
Ga 0.000 2.251 5.566
Ga 2.251 2.251 6.954
Na 0.000 0.000 0.000
Au 0.000 0.000 4.098


Number 1: M_tot 0.00 μB per atom. Number 2: M_tot 0.00 μB per atom. Number 3: M_tot 0.00 μB per atom. Number 4: M_tot 0.47 μB per atom. Number 5: M_tot 0.17 μB per atom. Number 6: M_tot 0.60 μB per atom. Number 7: M_tot 0.00 μB per atom. Number 8: M_tot 0.00 μB per atom. Number 9: M_tot 0.00 μB per atom. Number 10: M_tot 0.00 μB per atom. Number 11: M_tot 0.00 μB per atom. Number 12: M_tot 0.00 μB per atom. Number 13: M_tot 0.00 μB per atom. Number 14: M_tot 0.00 μB per atom. Number 15: M_tot 0.00 μB per atom. Number 16: M_tot 0.00 μB per atom. Number 17: M_tot 0.85 μB per atom. Number 18: M_tot 0.00 μB per atom. Number 19: M_tot 0.00 μB per atom.